Record 1
{"formula": "Sn2IrRh", "functional": "GGA-PBE", "state": "relaxed", "lattice_angstrom": [[3.0738, -0.0062, -0.0057], [-0.0130, 7.0727, -0.7766], [-1.5306, -4.0488, 7.7410]], "species": ["Sn", "Sn", "Sn", "Sn", "Ir", "Ir", "Rh", "Rh"], "frac_coords": [[0.3813, 0.0727, 0.3307], [0.0825, 0.5832, 0.7422], [0.5784, 0.9764, 0.7287], [0.2797, 0.4869, 0.1402], [0.2189, 0.0516, 0.0096], [0.4417, 0.5079, 0.4613], [0.7314, 0.7114, 0.0381], [0.9295, 0.8481, 0.4328]], "space_group": "P-1, No. 2", "formation_enthalpy_0k_ev_per_atom": -0.1626, "m_tot_mub_per_fu": 0.00, "crystal_system": "triclinic", "dos_ef_per_ev_atom": 0.518}

=====

Record 2
{"formula": "SnIr2Rh", "functional": "GGA-PBE", "state": "relaxed", "lattice_angstrom": [[3.8705, 0.0000, 0.0000], [0.0000, 3.8705, 0.0000], [1.9353, 1.9353, 9.3417]], "species": ["Ir", "Ir", "Ir", "Ir", "Rh", "Rh", "Sn", "Sn"], "frac_coords": [[0.5892, 0.1250, 0.2500], [0.1608, 0.6250, 0.2500], [0.3750, 0.4108, 0.7500], [0.8750, 0.8392, 0.7500], [0.5000, 0.5000, 0.0000], [0.2500, 0.7500, 0.5000], [0.0000, 0.0000, 0.0000], [0.7500, 0.2500, 0.5000]], "space_group": "I-42d, No. 122", "formation_enthalpy_0k_ev_per_atom": 0.3222, "m_tot_mub_per_fu": 0.00, "crystal_system": "tetragonal", "dos_ef_per_ev_atom": 1.335}

=====

Record 3
{"formula": "Sn6Ir2Rh", "functional": "GGA-PBE", "state": "relaxed", "lattice_angstrom": [[6.7334, 0.0000, -0.6737], [0.0000, 6.6745, 0.0000], [-1.7481, 0.0000, 9.1229]], "species": ["Sn", "Sn", "Sn", "Sn", "Sn", "Sn", "Sn", "Sn", "Sn", "Sn", "Sn", "Sn", "Ir", "Ir", "Ir", "Ir", "Rh", "Rh"], "frac_coords": [[0.8050, 0.9735, 0.2112], [0.8111, 0.6821, 0.5873], [0.8209, 0.6641, 0.9261], [0.6791, 0.1641, 0.5739], [0.6889, 0.1821, 0.9127], [0.6950, 0.4735, 0.2888], [0.1950, 0.0265, 0.7889], [0.1889, 0.3179, 0.4127], [0.1791, 0.3359, 0.0739], [0.3209, 0.8359, 0.4261], [0.3111, 0.8179, 0.0873], [0.3050, 0.5265, 0.7111], [0.9713, 0.3703, 0.7775], [0.5287, 0.8703, 0.7225], [0.4713, 0.1297, 0.2775], [0.0287, 0.6297, 0.2225], [0.5000, 0.5000, 0.0000], [0.0000, 0.0000, 0.5000]], "space_group": "P2_1/c, No. 14", "formation_enthalpy_0k_ev_per_atom": -0.1714, "m_tot_mub_per_fu": 0.00, "crystal_system": "monoclinic", "dos_ef_per_ev_atom": 0.418}

=====

Record 4
{"formula": "Sn3IrRh", "functional": "GGA-PBE", "state": "relaxed", "lattice_angstrom": [[-5.0009, -0.4279, -0.5967], [0.6194, -0.2521, -5.0101], [0.3944, -5.0300, 0.3018]], "species": ["Ir", "Rh", "Sn", "Sn", "Sn"], "frac_coords": [[0.0000, 0.0000, 0.0000], [0.5000, 0.5000, 0.5000], [0.0000, 0.5000, 0.0000], [0.0000, 0.0000, 0.5000], [0.5000, 0.0000, 0.0000]], "space_group": "Pm-3m, No. 221", "formation_enthalpy_0k_ev_per_atom": 0.5218, "e_above_lowest_polymorph_ev_per_atom": 0.000, "m_tot_mub_per_fu": 0.00, "crystal_system": "cubic", "dos_ef_per_ev_atom": 0.295}

=====

Number 1: calculated density 11.15 g/cm³. Number 2: calculated density 14.38 g/cm³. Number 3: calculated density 9.91 g/cm³. Number 4: calculated density 8.37 g/cm³.